Entry 1:
# ScBeCuSi

ScBeCuSi after structural relaxation (GGA-PBE, the Open Quantum Materials Database).

As for the total energy: -4.907 eV per atom.

a = 4.2828 Å, b = 4.2828 Å, c = 4.2828 Å
α = 60.00°, β = 60.00°, γ = 60.00°
Atoms (fractional coordinates):
Be1 0.0000 0.0000 0.0000
Cu1 0.7500 0.7500 0.7500
Sc1 0.5000 0.5000 0.5000
Si1 0.2500 0.2500 0.2500

Entry 2:
# ErCu3As2

ErCu3As2 after structural relaxation (GGA-PBE, the Open Quantum Materials Database).

As for the total energy: -4.635 eV per atom.

a = 4.1209 Å, b = 4.1209 Å, c = 6.6293 Å
α = 90.00°, β = 90.00°, γ = 120.00°
Atoms (fractional coordinates):
As1 0.6667 0.3333 0.2485
As2 0.3333 0.6667 0.7515
Cu1 0.3333 0.6667 0.3510
Cu2 0.0000 0.0000 0.5000
Cu3 0.6667 0.3333 0.6490
Er1 0.0000 0.0000 0.0000

Entry 3:
# Co2W

Co2W after structural relaxation (GGA-PBE, the Open Quantum Materials Database).

As for the total energy: -8.667 eV per atom. As for the formation enthalpy at 0 K: 391 meV/atom.

a = 4.8584 Å, b = 4.8584 Å, c = 7.9316 Å
α = 90.00°, β = 90.00°, γ = 122.88°
Each line ends with the local moment (μB).
Atoms (fractional coordinates):
Co1 0.3109 0.6892 0.0717  0.78
Co2 0.3242 0.2016 0.2500  0.26
Co3 0.7984 0.6758 0.2500  0.38
Co4 0.3109 0.6892 0.4283  0.77
Co5 0.6892 0.3109 0.5717  0.77
Co6 0.2016 0.3242 0.7500  0.38
Co7 0.6758 0.7984 0.7500  0.26
Co8 0.6892 0.3109 0.9283  0.78
W1 0.0000 0.0000 0.0000  -0.08
W2 0.8018 0.1982 0.2500  -0.13
W3 0.0000 0.0000 0.5000  -0.08
W4 0.1982 0.8018 0.7500  -0.13

Entry 4:
# PmSc2N3

PmSc2N3 after structural relaxation (GGA-PBE, the Open Quantum Materials Database).

As for the total energy: -8.715 eV per atom.

a = 3.3240 Å, b = 3.3240 Å, c = 8.1579 Å
α = 90.00°, β = 90.00°, γ = 120.00°
Atoms (fractional coordinates):
N1 0.0000 0.0000 0.0000
N2 0.3333 0.6667 0.3114
N3 0.6667 0.3333 0.6886
Pm1 0.0000 0.0000 0.5000
Sc1 0.6667 0.3333 0.1558
Sc2 0.3333 0.6667 0.8442

Entry 5:
# BaBe2ZnB2O6F2

BaBe2ZnB2O6F2 after structural relaxation (GGA-PBE, the Open Quantum Materials Database).

As for the total energy: -6.805 eV per atom.

a = 4.5994 Å, b = 4.5994 Å, c = 7.5968 Å
α = 90.00°, β = 90.00°, γ = 120.00°
Atoms (fractional coordinates):
B1 0.3333 0.6667 0.1727
B2 0.6667 0.3333 0.8273
Ba1 0.0000 0.0000 0.5000
Be1 0.6667 0.3333 0.2250
Be2 0.3333 0.6667 0.7750
F1 0.6667 0.3333 0.4388
F2 0.3333 0.6667 0.5612
O1 0.0256 0.3741 0.1731
O2 0.6259 0.6516 0.1731
O3 0.3484 0.9744 0.1731
O4 0.6516 0.0256 0.8269
O5 0.3741 0.3484 0.8269
O6 0.9744 0.6259 0.8269
Zn1 0.0000 0.0000 0.0000

Entry 6:
# FeSi29Ge2

FeSi29Ge2 after structural relaxation (GGA-PBE, the Open Quantum Materials Database).

As for the total energy: -5.402 eV per atom.

a = 8.6361 Å, b = 9.4552 Å, c = 9.4572 Å
α = 70.53°, β = 68.56°, γ = 68.56°
Atoms (fractional coordinates):
Fe1 0.2500 0.8125 0.0623
Ge1 0.4998 0.1252 0.1247
Ge2 0.7511 0.4374 0.9375
Si1 0.0063 0.2442 0.0015
Si2 0.0122 0.9905 0.0029
Si3 0.2486 0.5749 0.0624
Si4 0.4948 0.3808 0.1280
Si5 0.7502 0.6873 0.1880
Si6 0.7564 0.9338 0.1891
Si7 0.0012 0.5017 0.2487
Si8 0.0010 0.2503 0.2500
Si9 0.2488 0.8117 0.3016
Si10 0.2463 0.0590 0.3150
Si11 0.4981 0.6268 0.3728
Si12 0.4991 0.3758 0.3767
Si13 0.7505 0.1872 0.4368
Si14 0.7502 0.9365 0.4394
Si15 0.0009 0.7496 0.4985
Si16 0.9997 0.5002 0.4990
Si17 0.2490 0.3129 0.5625
Si18 0.2499 0.0616 0.5633
Si19 0.4983 0.6263 0.6235
Si20 0.4985 0.8743 0.6273
Si21 0.7491 0.4373 0.6834
Si22 0.7510 0.1858 0.6870
Si23 0.0008 0.7513 0.7487
Si24 0.0017 0.9990 0.7517
Si25 0.2504 0.3133 0.8124
Si26 0.2497 0.5643 0.8136
Si27 0.4991 0.1235 0.8715
Si28 0.4886 0.8721 0.8831
Si29 0.7486 0.6928 0.9374

Entry 7:
# TbDySi2Ni

TbDySi2Ni after structural relaxation (GGA-PBE, the Open Quantum Materials Database).

As for the total energy: -5.941 eV per atom.

a = 5.5463 Å, b = 5.5463 Å, c = 10.0855 Å
α = 116.23°, β = 116.23°, γ = 44.41°
Each line ends with the local moment (μB).
Atoms (fractional coordinates):
Dy1 0.1887 0.1887 0.1065  0.19
Dy2 0.8113 0.8113 0.8935  0.19
Ni1 0.7258 0.7258 0.3563  0.02
Ni2 0.2742 0.2742 0.6437  0.02
Si1 0.4914 0.4914 0.1198  -0.01
Si2 0.3507 0.3507 0.4374  0.00
Si3 0.6493 0.6493 0.5626  0.00
Si4 0.5086 0.5086 0.8802  -0.01
Tb1 0.0058 0.0058 0.3286  0.08
Tb2 0.9942 0.9942 0.6714  0.08

Entry 8:
# Pr3Fe2Cu2Si4

Pr3Fe2Cu2Si4 after structural relaxation (GGA-PBE, the Open Quantum Materials Database).

As for the total energy: -6.056 eV per atom.

a = 12.1739 Å, b = 12.1739 Å, c = 12.1739 Å
α = 160.56°, β = 160.48°, γ = 27.69°
Atoms (fractional coordinates):
Cu1 0.0997 0.0997 0.0000
Cu2 0.9003 0.9003 0.0000
Fe1 0.7491 0.2491 0.5000
Fe2 0.2509 0.7509 0.5000
Pr1 0.3479 0.3479 0.0000
Pr2 0.6521 0.6521 0.0000
Pr3 0.5000 0.0000 0.5000
Si1 0.2045 0.2045 0.0000
Si2 0.7955 0.7955 0.0000
Si3 0.9493 0.4493 0.5000
Si4 0.0507 0.5507 0.5000

Entry 9:
# PmHfSb

PmHfSb after structural relaxation (GGA-PBE, the Open Quantum Materials Database).

As for the total energy: -5.705 eV per atom.

a = 5.1422 Å, b = 5.1422 Å, c = 5.1422 Å
α = 60.00°, β = 60.00°, γ = 60.00°
Each line ends with the local moment (μB).
Atoms (fractional coordinates):
Hf1 0.7500 0.7500 0.7500  1.02
Pm1 0.5000 0.5000 0.5000  0.46
Sb1 0.2500 0.2500 0.2500  -0.03

Entry 10:
# Dy2Er2CI2Br3

Dy2Er2CI2Br3 after structural relaxation (GGA-PBE, the Open Quantum Materials Database).

As for the total energy: -4.850 eV per atom.

a = 9.4459 Å, b = 9.4459 Å, c = 8.1538 Å
α = 101.36°, β = 101.36°, γ = 23.51°
Atoms (fractional coordinates):
Br1 0.1563 0.1563 0.3292
Br2 0.5000 0.5000 0.5000
Br3 0.8437 0.8437 0.6708
C1 0.5000 0.5000 0.0000
Dy1 0.9988 0.9988 0.1998
Dy2 0.0012 0.0012 0.8002
Er1 0.6312 0.6312 0.0673
Er2 0.3688 0.3688 0.9327
I1 0.8283 0.8283 0.1896
I2 0.1717 0.1717 0.8104